1.
Compound: LaIrPt2
Source: the Alexandria database
Functional: GGA-PBEsol
Structure: optimized geometry

Lattice parameters (Å, degrees): 4.686 4.686 4.686 60.00 60.00 60.00
Fractional positions:
Ir 0.500 0.500 0.500
La 0.250 0.250 0.250
Pt 0.000 0.000 0.000
Pt 0.750 0.750 0.750

Computed properties:
As for the symmetry: F-43m, No. 216. The distance to the lowest polymorph of the same formula is 420 meV/atom. Its formation energy is -0.174 eV per atom. The density of states at the Fermi level is 3.369 states/eV/cell. For the calculated volume, the calculation gives 72.8 Å³/cell.

---

2.
Compound: La2IrPt
Source: the Alexandria database
Functional: GGA-PBEsol
Structure: optimized geometry

Lattice parameters (Å, degrees): 3.944 4.362 5.818 90.00 109.82 90.00
Fractional positions:
Ir 0.716 0.500 0.432
Pt 0.538 0.000 0.075
La 0.985 0.500 0.971
La 0.261 0.000 0.522

Computed properties:
As for the symmetry: Amm2, No. 38. Its formation energy is -0.877 eV per atom. The density of states at the Fermi level is 1.882 states/eV/cell. For the calculated volume, the calculation gives 94.2 Å³/cell.

---

3.
Compound: La2IrPt
Source: the Alexandria database
Functional: GGA-PBEsol
Structure: optimized geometry

Lattice parameters (Å, degrees): 3.573 5.040 5.040 90.00 90.00 90.00
Fractional positions:
Ir 0.500 0.000 0.000
La 0.000 0.000 0.500
La 0.000 0.500 0.000
Pt 0.500 0.500 0.500

Computed properties:
As for the symmetry: P4/mmm, No. 123. Its formation energy is -0.774 eV per atom. The density of states at the Fermi level is 1.982 states/eV/cell. For the calculated volume, the calculation gives 90.7 Å³/cell.

---

4.
Compound: LaIr2Pt
Source: the Alexandria database
Functional: GGA-PBEsol
Structure: optimized geometry

Lattice parameters (Å, degrees): 2.885 4.952 5.622 115.73 104.24 91.39
Fractional positions:
Ir 0.000 0.000 0.500
Ir 0.500 0.500 0.500
La 0.500 0.000 0.000
Pt 0.000 0.500 0.000

Computed properties:
As for the symmetry: C2/m, No. 12. Its formation energy is -0.080 eV per atom. The density of states at the Fermi level is 2.707 states/eV/cell. For the calculated volume, the calculation gives 69.3 Å³/cell.

---

5.
Compound: LaIrPt2
Source: the Alexandria database
Functional: GGA-PBEsol
Structure: optimized geometry

Lattice parameters (Å, degrees): 4.460 4.460 5.464 65.91 65.91 60.00
Fractional positions:
Ir 0.000 0.000 0.000
La 0.500 0.500 0.500
Pt 0.698 0.698 0.905
Pt 0.302 0.302 0.095

Computed properties:
As for the symmetry: R-3m, No. 166. The distance to the lowest polymorph of the same formula is 0 meV/atom. Its formation energy is -0.594 eV per atom. The density of states at the Fermi level is 1.657 states/eV/cell. For the calculated volume, the calculation gives 83.0 Å³/cell.

---

6.
Compound: La2IrPt
Source: the Alexandria database
Functional: GGA-PBEsol
Structure: optimized geometry

Lattice parameters (Å, degrees): 4.142 4.142 7.203 73.29 73.29 60.00
Fractional positions:
Ir 0.500 0.500 0.500
Pt 0.000 0.000 0.000
La 0.754 0.754 0.739
La 0.246 0.246 0.261

Computed properties:
As for the symmetry: R-3m, No. 166. Its formation energy is -0.762 eV per atom. The density of states at the Fermi level is 1.795 states/eV/cell. For the calculated volume, the calculation gives 101.0 Å³/cell.

---

7.
Compound: LaTeIr2Pt
Source: the Alexandria database
Functional: GGA-PBEsol
Structure: optimized geometry

Lattice parameters (Å, degrees): 4.848 4.848 4.950 90.00 90.00 90.00
Fractional positions:
Ir 0.000 0.500 0.000
Ir 0.500 0.000 0.000
Te 0.000 0.000 0.000
Pt 0.000 0.000 0.500
La 0.500 0.500 0.500

Computed properties:
As for the symmetry: P4/mmm, No. 123. The uncorrected formation energy is 0.4274 eV per atom. The density of states at the Fermi level is 6.005 states/eV/cell. For the calculated volume, the calculation gives 116.4 Å³/cell.

---

8.
Compound: RbLa2YIr
Source: the Alexandria database
Functional: GGA-PBEsol
Structure: optimized geometry

Lattice parameters (Å, degrees): 5.029 5.903 5.903 90.00 90.00 90.00
Fractional positions:
Y 0.000 0.000 0.000
Ir 0.500 0.000 0.000
Rb 0.500 0.500 0.500
La 0.000 0.000 0.500
La 0.000 0.500 0.000

Computed properties:
As for the symmetry: P4/mmm, No. 123. Its formation energy is 0.784 eV per atom. The density of states at the Fermi level is 6.566 states/eV/cell. For the calculated volume, the calculation gives 175.3 Å³/cell.

---

9.
Compound: LaRe2Ir
Source: the Alexandria database
Functional: GGA-PBEsol
Structure: optimized geometry

Lattice parameters (Å, degrees): 4.390 4.748 4.390 62.47 90.00 117.53
Fractional positions:
Ir 0.500 0.000 0.500
La 0.750 0.500 0.750
Re 0.000 0.000 0.000
Re 0.250 0.500 0.250

Computed properties:
As for the symmetry: I-4m2, No. 119. The distance to the lowest polymorph of the same formula is 190 meV/atom. Its formation energy is 0.574 eV per atom. The density of states at the Fermi level is 4.959 states/eV/cell. For the calculated volume, the calculation gives 69.2 Å³/cell.

---

10.
Compound: LaRe2Ir
Source: the Alexandria database
Functional: GGA-PBEsol
Structure: optimized geometry

Lattice parameters (Å, degrees): 2.769 2.769 9.022 90.00 90.00 90.00
Fractional positions:
Ir 0.500 0.500 0.000
La 0.500 0.500 0.500
Re 0.000 0.000 0.792
Re 0.000 0.000 0.208

Computed properties:
As for the symmetry: P4/mmm, No. 123. The distance to the lowest polymorph of the same formula is 0 meV/atom. Its formation energy is 0.384 eV per atom. The density of states at the Fermi level is 4.461 states/eV/cell. For the calculated volume, the calculation gives 69.2 Å³/cell.

---

11.
Compound: LaIr2Rh
Source: the Alexandria database
Functional: GGA-PBEsol
Structure: optimized geometry

Lattice parameters (Å, degrees): 4.062 4.062 5.040 113.77 113.77 90.00
Fractional positions:
Ir 0.750 0.250 0.500
Ir 0.250 0.750 0.500
La 0.000 0.000 0.000
Rh 0.500 0.500 0.000

Computed properties:
As for the symmetry: I4/mmm, No. 139. The distance to the lowest polymorph of the same formula is 0 meV/atom. Its formation energy is -0.019 eV per atom. The density of states at the Fermi level is 5.050 states/eV/cell. For the calculated volume, the calculation gives 68.3 Å³/cell.

---

12.
Compound: La3IrRh
Source: the Alexandria database
Functional: GGA-PBEsol
Structure: optimized geometry

Lattice parameters (Å, degrees): 5.276 5.276 5.276 90.00 90.00 90.00
Fractional positions:
Ir 0.500 0.500 0.500
Rh 0.000 0.000 0.000
La 0.000 0.500 0.000
La 0.000 0.000 0.500
La 0.500 0.000 0.000

Computed properties:
As for the symmetry: Pm-3m, No. 221. Its formation energy is 0.144 eV per atom. The density of states at the Fermi level is 3.365 states/eV/cell. For the calculated volume, the calculation gives 146.9 Å³/cell.